Sn6SbPb12: optimized geometry, PBE.

```
Sn6SbPb12
1.0
6.7738 3.9109 4.4541
-6.7738 3.9109 4.4541
0.0000 -7.8218 4.4541
Sn Sb Pb
6 1 12
direct
0.0676 0.7853 0.6432
0.2147 0.3568 0.9324
0.3568 0.9324 0.2147
0.6432 0.0676 0.7853
0.7853 0.6432 0.0676
0.9324 0.2147 0.3568
0.5000 0.5000 0.5000
0.0341 0.8890 0.3159
0.1110 0.6841 0.9659
0.1758 0.4544 0.5998
0.3159 0.0341 0.8890
0.4002 0.8242 0.5456
0.4544 0.5998 0.1758
0.5456 0.4002 0.8242
0.5998 0.1758 0.4544
0.6841 0.9659 0.1110
0.8242 0.5456 0.4002
0.8890 0.3159 0.0341
0.9659 0.1110 0.6841
```

Electronic total energy: -70.32 eV per cell
Symmetry: R-3, No. 148
Formation energy from raw total energies: 122.2 meV/atom
ΔE to the lowest computed polymorph: 38 meV/atom
Crystal system: trigonal

=====

ErTmCdHg: optimized geometry, PBE.

```
ErTmCdHg
1.0
0.0000 3.6911 3.6911
3.6911 0.0000 3.6911
3.6911 3.6911 0.0000
Er Tm Cd Hg
1 1 1 1
direct
0.0000 0.0000 0.0000
0.5000 0.5000 0.5000
0.7500 0.7500 0.7500
0.2500 0.2500 0.2500
```

Electronic total energy: -11.82 eV per cell
Symmetry: F-43m, No. 216
ΔE_f: -0.39 eV per atom
Crystal system: cubic

=====

PrNdYTl: optimized geometry, PBE.

```
PrNdYTl
1.0
4.9050 0.0000 0.0000
0.0000 4.9154 0.0000
0.0000 0.0000 5.0888
Pr Nd Y Tl
1 1 1 1
direct
0.0000 0.0000 0.0000
0.5000 0.5000 0.0000
0.5000 0.0000 0.5000
0.0000 0.5000 0.5000
```

Electronic total energy: -19.19 eV per cell
Symmetry: Pmmm, No. 47
ΔE_f: -0.20 eV per atom
ΔE to the lowest computed polymorph: 0 meV/atom
Crystal system: orthorhombic

=====

CaAl3Ag10: optimized geometry, PBE.

```
CaAl3Ag10
1.0
0.0000 6.5293 6.5293
6.5293 0.0000 6.5293
6.5293 6.5293 0.0000
Ca Al Ag
2 6 20
direct
0.2500 0.2500 0.2500
0.7500 0.7500 0.7500
0.2365 0.2365 0.7635
0.2365 0.7635 0.2365
0.2365 0.7635 0.7635
0.7635 0.2365 0.2365
0.7635 0.2365 0.7635
0.7635 0.7635 0.2365
0.1161 0.1161 0.1161
0.1161 0.1161 0.6518
0.1161 0.6518 0.1161
0.1528 0.5000 0.5000
0.1528 0.5000 0.8472
0.1528 0.8472 0.5000
0.3482 0.8839 0.8839
0.5000 0.1528 0.5000
0.5000 0.1528 0.8472
0.5000 0.5000 0.1528
0.5000 0.5000 0.8472
0.5000 0.8472 0.1528
0.5000 0.8472 0.5000
0.6518 0.1161 0.1161
0.8472 0.1528 0.5000
0.8472 0.5000 0.1528
0.8472 0.5000 0.5000
0.8839 0.3482 0.8839
0.8839 0.8839 0.3482
0.8839 0.8839 0.8839
```

Electronic total energy: -83.53 eV per cell
Symmetry: Fm-3m, No. 225
ΔE_f: 0.00 eV per atom
Crystal system: cubic

=====

Mn2Be16Si: optimized geometry, PBE.

```
Mn2Be16Si
1.0
3.6196 2.0898 3.5697
-3.6196 2.0898 3.5697
0.0000 -4.1796 3.5697
Mn Be Si
2 16 1
direct
0.0000 0.0000 0.0000
0.3261 0.3261 0.3261
0.0119 0.0119 0.4856
0.0119 0.4856 0.0119
0.1675 0.6591 0.6591
0.3171 0.3171 0.8257
0.3171 0.8257 0.3171
0.3438 0.6605 0.9798
0.3438 0.9798 0.6605
0.4856 0.0119 0.0119
0.5554 0.5554 0.5554
0.6591 0.1675 0.6591
0.6591 0.6591 0.1675
0.6605 0.3438 0.9798
0.6605 0.9798 0.3438
0.8257 0.3171 0.3171
0.9798 0.3438 0.6605
0.9798 0.6605 0.3438
0.7630 0.7630 0.7630
```

Electronic total energy: -84.23 eV per cell
Symmetry: R3m, No. 160
Formation energy from raw total energies: -44.6 meV/atom
Crystal system: trigonal

=====

PmSm5Pb6: optimized geometry, PBE.

```
PmSm5Pb6
1.0
2.9561 -7.3055 0.0000
2.9561 7.3055 0.0000
-1.7867 0.0000 8.5972
Pm Sm Pb
1 5 6
direct
0.0000 0.0000 0.0000
0.0000 0.0000 0.5000
0.3329 0.6671 0.0000
0.3339 0.6661 0.5000
0.6661 0.3339 0.5000
0.6671 0.3329 0.0000
0.1666 0.8325 0.2508
0.1675 0.8334 0.7492
0.4972 0.4972 0.7504
0.5028 0.5028 0.2496
0.8325 0.1666 0.2508
0.8334 0.1675 0.7492
```

Electronic total energy: -56.41 eV per cell
Symmetry: C2/m, No. 12
ΔE_f: -0.48 eV per atom
ΔE to the lowest computed polymorph: 15 meV/atom
Crystal system: monoclinic

=====

MnFeCuMoAu: optimized geometry, PBE.

```
MnFeCuMoAu
1.0
-1.3235 2.1894 6.1409
1.3235 -2.1894 6.1409
1.3235 2.1894 -6.1409
Mn Fe Cu Mo Au
1 1 1 1 1
direct
0.0000 0.0000 0.0000
0.2046 0.2046 0.0000
0.8136 0.3136 0.5000
0.3945 0.8945 0.5000
0.6111 0.6111 0.0000
```

Electronic total energy: -34.41 eV per cell
Symmetry: Imm2, No. 44
ΔE_f: 0.28 eV per atom
ΔE to the lowest computed polymorph: 163 meV/atom
Crystal system: orthorhombic

=====

LiCdPd4: optimized geometry, PBE.

```
LiCdPd4
1.0
4.4530 -1.9869 0.0000
4.4530 1.9869 0.0000
-1.8062 0.0000 5.3360
Li Cd Pd
1 1 4
direct
0.0000 0.0000 0.0000
0.0000 0.0000 0.5000
0.3304 0.3304 0.1618
0.3370 0.3370 0.6750
0.6630 0.6630 0.3250
0.6696 0.6696 0.8382
```

Electronic total energy: -25.40 eV per cell
Symmetry: C2/m, No. 12
ΔE_f: -0.30 eV per atom
ΔE to the lowest computed polymorph: 0 meV/atom
Crystal system: monoclinic